Record 1
Sm12Co2Bi5 | PBE | relaxed

**Total magnetization**: 0.00 μB per formula unit
**ΔE_f**: -7.2 eV per formula unit

Cell lengths 17.867, 7.669, 9.819 Å; angles 90.00, 106.26, 90.00 degrees
Space group C2/m (No. 12)
Symmetry-distinct sites (fractional):
Sm 0.001 0.000 0.332
Sm 0.003 0.500 0.734
Sm 0.143 0.257 0.064
Sm 0.151 0.260 0.576
Co 0.000 0.301 0.500
Bi 0.000 0.000 0.000
Bi 0.195 0.500 0.334
Bi 0.208 0.500 0.860

Record 2
Sm5CoBi2 | PBE | relaxed

**Total magnetization**: 0.00 μB per formula unit
**ΔE_f**: -1.0 eV per formula unit

Cell lengths 5.628, 16.528, 13.648 Å; angles 90.00, 90.00, 90.00 degrees
Space group Cmcm (No. 63)
Symmetry-distinct sites (fractional):
Sm 0.000 0.053 0.114
Sm 0.000 0.272 0.103
Sm 0.000 0.312 0.750
Co 0.000 0.162 0.250
Bi 0.000 0.144 0.594

Record 3
Sm3Co3Bi | PBE | relaxed

**Total magnetization**: 2.50 μB per formula unit
**ΔE_f**: -2.0 eV per formula unit

Cell lengths 9.4538, 9.4538, 4.2316 Å; angles 90.00, 90.00, 120.00 degrees
Space group P6_3/m (No. 176)
Symmetry-distinct sites (fractional):
Sm 0.0732 0.6910 0.2500
Co 0.0166 0.8660 0.7500
Bi 0.3333 0.6667 0.7500

Record 4
Sm12Co5Bi3 | PBE | relaxed

**Total magnetization**: 0.00 μB per formula unit
**ΔE_f**: -1.5 eV per formula unit

Cell lengths 17.019, 17.019, 17.019 Å; angles 90.00, 90.00, 90.00 degrees
Space group Ia-3d (No. 230)
Symmetry-distinct sites (fractional):
Sm 0.032 0.053 0.646
Co 0.000 0.000 0.000
Co 0.000 0.250 0.375
Bi 0.000 0.250 0.125

Record 5
Sm12Co5Bi | PBE | relaxed

**Total magnetization**: 0.00 μB per formula unit
**ΔE_f**: -3.8 eV per formula unit

Cell lengths 9.670, 9.746, 10.082 Å; angles 90.00, 90.00, 90.00 degrees
Space group Immm (No. 71)
Symmetry-distinct sites (fractional):
Sm 0.000 0.192 0.199
Sm 0.191 0.500 0.188
Sm 0.204 0.315 0.500
Co 0.000 0.000 0.000
Co 0.000 0.381 0.000
Co 0.000 0.500 0.389
Bi 0.000 0.000 0.500

Record 6
Sm3CoBi | PBE | relaxed

**Total magnetization**: 0.00 μB per formula unit
**Energy above the lowest structure with this stoichiometry**: 1.50 kJ/mol of atoms
**ΔE_f**: -1.6 eV per formula unit

Cell lengths 5.155, 22.688, 5.158 Å; angles 90.00, 90.00, 90.00 degrees
Space group Cmcm (No. 63)
Symmetry-distinct sites (fractional):
Sm 0.000 0.065 0.250
Sm 0.000 0.315 0.750
Sm 0.000 0.431 0.250
Co 0.000 0.441 0.750
Bi 0.000 0.171 0.750

Record 7
Co2Sn2Bi | PBE | relaxed

**Total magnetization**: 0.00 μB per formula unit
**Energy above the lowest structure with this stoichiometry**: 9.26 kJ/mol of atoms
**ΔE_f**: 1.5 eV per formula unit

Cell lengths 4.129, 4.129, 11.564 Å; angles 90.00, 90.00, 90.00 degrees
Space group I4/mmm (No. 139)
Symmetry-distinct sites (fractional):
Co 0.000 0.000 0.108
Sn 0.000 0.500 0.250
Bi 0.000 0.000 0.500

Record 8
CoSn4Bi | PBE | relaxed

**Total magnetization**: 0.02 μB per formula unit
**ΔE_f**: 0.3 eV per formula unit

Cell lengths 9.082, 13.566, 5.504 Å; angles 90.00, 112.73, 90.00 degrees
Space group C2/c (No. 15)
Symmetry-distinct sites (fractional):
Co 0.000 0.009 0.250
Sn 0.109 0.159 0.582
Sn 0.240 0.435 0.842
Bi 0.000 0.364 0.250

Record 9
Co2Sn2Bi | PBE | relaxed

**Total magnetization**: 0.00 μB per formula unit
**Energy above the lowest structure with this stoichiometry**: 0.00 kJ/mol of atoms
**ΔE_f**: 1.1 eV per formula unit

Cell lengths 7.695, 7.695, 3.137 Å; angles 90.00, 90.00, 90.00 degrees
Space group P4/mbm (No. 127)
Symmetry-distinct sites (fractional):
Co 0.142 0.358 0.000
Sn 0.149 0.649 0.500
Bi 0.000 0.000 0.000

Record 10
CoSnBi2 | PBE | relaxed

**Total magnetization**: 0.95 μB per formula unit
**ΔE_f**: 1.5 eV per formula unit

Cell lengths 6.357, 6.357, 12.845 Å; angles 90.00, 90.00, 90.00 degrees
Space group I-42d (No. 122)
Symmetry-distinct sites (fractional):
Co 0.000 0.000 0.000
Sn 0.000 0.000 0.500
Bi 0.182 0.250 0.125

Record 11
Co3SnBi | PBE | relaxed

**Total magnetization**: 3.96 μB per formula unit
**Energy above the lowest structure with this stoichiometry**: 19.02 kJ/mol of atoms
**ΔE_f**: 6.4 eV per formula unit

Cell lengths 4.810, 4.810, 4.810 Å; angles 90.00, 90.00, 90.00 degrees
Space group Pm-3m (No. 221)
Symmetry-distinct sites (fractional):
Co 0.000 0.000 0.500
Sn 0.500 0.500 0.500
Bi 0.000 0.000 0.000

Record 12
CoSn3Bi | PBE | relaxed

**Total magnetization**: 0.00 μB per formula unit
**Energy above the lowest structure with this stoichiometry**: 1.59 kJ/mol of atoms
**ΔE_f**: 0.3 eV per formula unit

Cell lengths 3.590, 9.710, 7.547 Å; angles 90.00, 103.55, 90.00 degrees
Space group P2_1/m (No. 11)
Symmetry-distinct sites (fractional):
Co 0.000 0.000 0.000
Sn 0.041 0.250 0.076
Sn 0.378 0.025 0.753
Bi 0.263 0.750 0.513

Question: Which value of ΔE_f does entry 9 give?
Answer: 1.1 eV per formula unit